First-principles (PBE-GGA) data for LiAg4Pd2 after structural relaxation, as listed in the Alexandria database.

Calculated values
The density of states at the Fermi level is 1.61 states/eV/f.u. Its space group is P1, No. 1. For the formation energy, the calculation gives 3 meV/atom.

Cell: 7.479 7.479 7.509 Å, 135.26 117.86 79.77°
Fractional coordinates of all 14 atoms:
1 Li 0.146 0.422 0.277
2 Li 0.144 0.939 0.793
3 Ag 0.896 0.188 0.293
4 Ag 0.398 0.674 0.279
5 Ag 0.895 0.676 0.780
6 Ag 0.777 0.060 0.792
7 Ag 0.268 0.057 0.281
8 Ag 0.396 0.193 0.795
9 Ag 0.504 0.796 0.780
10 Ag 0.017 0.795 0.292
11 Pd 0.641 0.432 0.788
12 Pd 0.642 0.922 0.281
13 Pd 0.509 0.297 0.281
14 Pd 0.016 0.299 0.789